A relaxed structure of CsKBiAu, computed with PBE.

V = 160.0 Å³/cell
space-group type = No. 216
ΔE to the lowest computed polymorph = 0.4574 eV per atom

Unit cell a=6.0940 b=6.0940 c=6.0940 alpha=60.00 beta=60.00 gamma=60.00
With the nearest neighbours (Å) after each atom.
Positions (direct):
1 Cs 0.0000 0.0000 0.0000  4 Bi 3.73, 4 Au 3.73
2 K 0.5000 0.5000 0.5000  4 Bi 3.73, 4 Au 3.73
3 Bi 0.7500 0.7500 0.7500  4 K 3.73, 4 Cs 3.73
4 Au 0.2500 0.2500 0.2500  4 K 3.73, 4 Cs 3.73

***

A relaxed structure of LiTbNO, computed with PBE.

V = 113.7 Å³/cell
space-group type = No. 26
ΔE to the lowest computed polymorph = 0.0918 eV per atom

Unit cell a=3.8323 b=6.5007 c=4.5653 alpha=90.00 beta=90.00 gamma=90.00
With the nearest neighbours (Å) after each atom.
Positions (direct):
1 Li 0.0000 0.1529 0.0000  2 O 1.92-2.09
2 Li 0.0000 0.8471 0.5000  2 O 1.92-2.09
3 Tb 0.5000 0.2950 0.4825  2 O 2.16, 3 N 2.30-2.33
4 Tb 0.5000 0.7050 0.9825  2 O 2.16, 3 N 2.30-2.33
5 N 0.5000 0.3471 0.9812  2 Li 2.30, 3 Tb 2.30-2.33
6 N 0.5000 0.6529 0.4812  2 Li 2.30, 3 Tb 2.30-2.33
7 O 0.0000 0.1414 0.4569  2 Li 1.92-2.09
8 O 0.0000 0.8586 0.9569  2 Li 1.92-2.09

***

A relaxed structure of Pr2In3Ga3, computed with PBE.

V = 191.3 Å³/cell
space-group type = No. 6
ΔE to the lowest computed polymorph = 0.0000 eV per atom

Unit cell a=6.6508 b=4.8803 c=6.7407 alpha=90.00 beta=119.02 gamma=90.00
With the nearest neighbours (Å) after each atom.
Positions (direct):
1 Pr 0.0000 0.0000 0.0000  6 Ga 3.19-3.46, 6 In 3.25-3.50
2 Pr 0.3353 0.5000 0.6970  6 Ga 3.23-3.42, 6 In 3.30-3.43
3 In 0.3665 0.5000 0.2033  3 In 3.02-3.06, 3 Ga 3.04-3.08, 3 Pr 3.25-3.32
4 In 0.5266 0.0000 0.5037  4 Ga 2.95-3.04, 2 In 3.02, 3 Pr 3.30
5 In 0.8301 0.5000 0.2090  5 Ga 2.97-3.00, 1 In 3.06, 2 Pr 3.28
6 Ga 0.5310 0.0000 0.0548  1 Ga 2.99, 5 In 3.00-3.04, 3 Pr 3.23-3.31
7 Ga 0.8257 0.5000 0.6507  2 Ga 2.98, 4 In 2.99-3.08, 3 Pr 3.19-3.25
8 Ga 0.9674 0.0000 0.4970  3 In 2.95-2.97, 3 Ga 2.98-2.99, 3 Pr 3.25-3.29

***

A relaxed structure of Co17Hg, computed with PBE.

V = 653.8 Å³/cell
space-group type = No. 164
ΔE to the lowest computed polymorph = 0.0046 eV per atom

Unit cell a=4.9352 b=4.9352 c=30.9952 alpha=90.00 beta=90.00 gamma=120.00
With the nearest neighbours (Å) after each atom.
Positions (direct):
1 Co 0.0000 0.0000 0.0000  12 Co 2.47-2.48
2 Co 0.0000 0.0000 0.1950  12 Co 2.45-2.47
3 Co 0.0000 0.0000 0.8050  12 Co 2.45-2.47
4 Co 0.0000 0.5000 0.0000  12 Co 2.47-2.48
5 Co 0.0019 0.5010 0.1964  11 Co 2.42-2.50
6 Co 0.1665 0.3331 0.1301  12 Co 2.46-2.50
7 Co 0.1667 0.3333 0.7408  7 Co 2.42-2.47, 2 Hg 2.69
8 Co 0.1668 0.3335 0.9346  12 Co 2.46-2.50
9 Co 0.1665 0.8335 0.1301  12 Co 2.46-2.50
10 Co 0.1667 0.8333 0.7408  7 Co 2.42-2.47, 2 Hg 2.69
11 Co 0.1668 0.8332 0.9346  12 Co 2.46-2.50
12 Co 0.3333 0.1667 0.2592  7 Co 2.42-2.47, 2 Hg 2.69
13 Co 0.3331 0.1665 0.8699  12 Co 2.46-2.50
14 Co 0.3333 0.6667 0.0650  12 Co 2.47
15 Co 0.3333 0.6667 0.8681  12 Co 2.46-2.50
16 Co 0.3335 0.1668 0.0654  12 Co 2.46-2.50
17 Co 0.4990 0.5010 0.1964  11 Co 2.42-2.50
18 Co 0.4990 0.9981 0.1964  11 Co 2.42-2.50
19 Co 0.5000 0.0000 0.0000  12 Co 2.47-2.48
20 Co 0.5000 0.5000 0.0000  12 Co 2.47-2.48
21 Co 0.5010 0.0019 0.8036  11 Co 2.42-2.50
22 Co 0.5010 0.4990 0.8036  11 Co 2.42-2.50
23 Co 0.6665 0.8332 0.9346  12 Co 2.46-2.50
24 Co 0.6667 0.3333 0.1319  12 Co 2.46-2.50
25 Co 0.6667 0.3333 0.9350  12 Co 2.47
26 Co 0.6669 0.8335 0.1301  12 Co 2.46-2.50
27 Co 0.6667 0.8333 0.7408  7 Co 2.42-2.47, 2 Hg 2.69
28 Co 0.8332 0.1668 0.0654  12 Co 2.46-2.50
29 Co 0.8333 0.1667 0.2592  7 Co 2.42-2.47, 2 Hg 2.69
30 Co 0.8335 0.1665 0.8699  12 Co 2.46-2.50
31 Co 0.8332 0.6665 0.0654  12 Co 2.46-2.50
32 Co 0.8333 0.6667 0.2592  7 Co 2.42-2.47, 2 Hg 2.69
33 Co 0.8335 0.6669 0.8699  12 Co 2.46-2.50
34 Co 0.9981 0.4990 0.8036  11 Co 2.42-2.50
35 Hg 0.3333 0.6667 0.2940  6 Co 2.69
36 Hg 0.6667 0.3333 0.7060  6 Co 2.69